(1)
Material: TaSbCl2
Method: DFT, GGA-PBE
State: optimized geometry

```
data_TaSbCl2
_chemical_formula_sum 'Ta4 Sb4 Cl8'
_space_group_name_H-M_alt 'F m -3 m'
_space_group_IT_number 225
_space_group_name_Hall '-F 4 2 3'
_cell_length_a 6.7881
_cell_length_b 6.7881
_cell_length_c 6.7881
_cell_angle_alpha 90.00
_cell_angle_beta 90.00
_cell_angle_gamma 90.00
loop_
_atom_site_label
_atom_site_fract_x
_atom_site_fract_y
_atom_site_fract_z
Ta1 0.0000 0.0000 0.0000
Sb1 0.0000 0.0000 0.5000
Cl1 0.2500 0.2500 0.2500
```

## Properties
Offset from the most stable computed form ... 1211 meV/atom
DFT total energy ... -17.223 eV/f.u.
Energy relative to the elements, uncorrected ... 0.611 eV/atom

=====

(2)
Material: SmGd2Ag
Method: DFT, GGA-PBE
State: optimized geometry

```
data_SmGd2Ag
_chemical_formula_sum 'Sm1 Gd2 Ag1'
_space_group_name_H-M_alt 'P 4/m m m'
_space_group_IT_number 123
_space_group_name_Hall '-P 4 2'
_cell_length_a 5.5133
_cell_length_b 5.5133
_cell_length_c 3.7129
_cell_angle_alpha 90.00
_cell_angle_beta 90.00
_cell_angle_gamma 90.00
loop_
_atom_site_label
_atom_site_fract_x
_atom_site_fract_y
_atom_site_fract_z
Sm1 0.0000 0.0000 0.0000
Gd1 0.0000 0.5000 0.5000
Ag1 0.5000 0.5000 0.0000
```

## Properties
Offset from the most stable computed form ... 121 meV/atom
DFT total energy ... -35.755 eV/f.u.
DFT formation energy ... -0.006 eV/atom

=====

(3)
Material: Ta2TlHg
Method: DFT, GGA-PBE
State: optimized geometry

```
data_Ta2TlHg
_chemical_formula_sum 'Ta8 Tl4 Hg4'
_space_group_name_H-M_alt 'F -4 3 m'
_space_group_IT_number 216
_space_group_name_Hall 'F -4 2 3'
_cell_length_a 6.9085
_cell_length_b 6.9085
_cell_length_c 6.9085
_cell_angle_alpha 90.00
_cell_angle_beta 90.00
_cell_angle_gamma 90.00
loop_
_atom_site_label
_atom_site_fract_x
_atom_site_fract_y
_atom_site_fract_z
Ta1 0.0000 0.0000 0.0000
Ta2 0.2500 0.2500 0.2500
Tl1 0.2500 0.2500 0.7500
Hg1 0.0000 0.0000 0.5000
```

## Properties
DFT total energy ... -22.948 eV/f.u.
DFT formation energy ... 0.856 eV/atom

=====

(4)
Material: LiTm2Mn
Method: DFT, GGA-PBE
State: optimized geometry

```
data_LiTm2Mn
_chemical_formula_sum 'Li3 Tm6 Mn3'
_space_group_name_H-M_alt 'R -3 m'
_space_group_IT_number 166
_space_group_name_Hall '-R 3 2"'
_cell_length_a 3.2892
_cell_length_b 3.2892
_cell_length_c 32.3000
_cell_angle_alpha 90.00
_cell_angle_beta 90.00
_cell_angle_gamma 120.00
loop_
_atom_site_label
_atom_site_fract_x
_atom_site_fract_y
_atom_site_fract_z
Li1 0.0000 0.0000 0.0000
Tm1 0.0000 0.0000 0.0975
Mn1 0.0000 0.0000 0.5000
```

## Properties
Offset from the most stable computed form ... 256 meV/atom
DFT total energy ... -18.641 eV/f.u.
DFT formation energy ... 0.346 eV/atom

=====

(5)
Material: Cd4Ag3Au
Method: DFT, GGA-PBE
State: optimized geometry

```
data_Cd4Ag3Au
_chemical_formula_sum 'Cd8 Ag6 Au2'
_space_group_name_H-M_alt 'P m m a'
_space_group_IT_number 51
_space_group_name_Hall '-P 2a 2a'
_cell_length_a 9.5627
_cell_length_b 6.7721
_cell_length_c 4.7850
_cell_angle_alpha 90.00
_cell_angle_beta 90.00
_cell_angle_gamma 90.00
loop_
_atom_site_label
_atom_site_fract_x
_atom_site_fract_y
_atom_site_fract_z
Cd1 0.0000 0.2504 0.0000
Cd2 0.2500 0.2503 0.4816
Ag1 0.0000 0.0000 0.5000
Ag2 0.2500 0.0000 0.9804
Ag3 0.2500 0.5000 0.9795
Au1 0.0000 0.5000 0.5000
```

## Properties
Offset from the most stable computed form ... 0 meV/atom
DFT total energy ... -16.184 eV/f.u.
DFT formation energy ... -0.087 eV/atom

=====

(6)
Material: RuPt2Rh2W
Method: DFT, GGA-PBE
State: optimized geometry

```
data_RuPt2Rh2W
_chemical_formula_sum 'Ru2 Pt4 Rh4 W2'
_space_group_name_H-M_alt 'P 1 21/m 1'
_space_group_IT_number 11
_space_group_name_Hall '-P 2yb'
_cell_length_a 5.4400
_cell_length_b 5.3093
_cell_length_c 6.5696
_cell_angle_alpha 90.00
_cell_angle_beta 100.82
_cell_angle_gamma 90.00
loop_
_atom_site_label
_atom_site_fract_x
_atom_site_fract_y
_atom_site_fract_z
Ru1 0.1242 0.2500 0.1013
Pt1 0.3211 0.5023 0.8126
Rh1 0.0329 0.7500 0.4785
Rh2 0.4552 0.2500 0.4707
W1 0.2452 0.7500 0.1736
```

## Properties
DFT total energy ... -48.432 eV/f.u.
DFT formation energy ... 0.097 eV/atom

=====

(7)
Material: Li2Zn3Pd2
Method: DFT, GGA-PBE
State: optimized geometry

```
data_Li2Zn3Pd2
_chemical_formula_sum 'Li2 Zn3 Pd2'
_space_group_name_H-M_alt 'P -1'
_space_group_IT_number 2
_space_group_name_Hall '-P 1'
_cell_length_a 4.6892
_cell_length_b 4.7336
_cell_length_c 4.7491
_cell_angle_alpha 99.47
_cell_angle_beta 97.80
_cell_angle_gamma 101.10
loop_
_atom_site_label
_atom_site_fract_x
_atom_site_fract_y
_atom_site_fract_z
Li1 0.1487 0.0697 0.2814
Zn1 0.0000 0.5000 0.0000
Zn2 0.2929 0.6509 0.5940
Pd1 0.4315 0.2147 0.8328
```

## Properties
Offset from the most stable computed form ... 0 meV/atom
DFT total energy ... -20.859 eV/f.u.
DFT formation energy ... -0.403 eV/atom

=====

(8)
Material: Re3RhCl
Method: DFT, GGA-PBE
State: optimized geometry

```
data_Re3RhCl
_chemical_formula_sum 'Re3 Rh1 Cl1'
_space_group_name_H-M_alt 'P m -3 m'
_space_group_IT_number 221
_space_group_name_Hall '-P 4 2 3'
_cell_length_a 4.7719
_cell_length_b 4.7719
_cell_length_c 4.7719
_cell_angle_alpha 90.00
_cell_angle_beta 90.00
_cell_angle_gamma 90.00
loop_
_atom_site_label
_atom_site_fract_x
_atom_site_fract_y
_atom_site_fract_z
Re1 0.0000 0.0000 0.5000
Rh1 0.0000 0.0000 0.0000
Cl1 0.5000 0.5000 0.5000
```

## Properties
Offset from the most stable computed form ... 944 meV/atom
DFT total energy ... -33.729 eV/f.u.
Energy relative to the elements, uncorrected ... 2.563 eV/atom